Zn2Pd5Pt2 (PBE, relaxed); total magnetization = 0.0 μB per formula unit; symmetry = No. 9; offset from the most stable computed form = 0 meV/atom
1.0
8.3022 -2.3843 0.0000
8.3022 2.3843 0.0000
-2.1699 0.0000 6.8799
Zn Pd Pt
4 10 4
Cartesian
2.4826 0.8174 3.8151
7.2173 1.5760 3.4400
3.5675 -0.8174 0.3751
8.3022 -1.5760 0.0000
4.8801 1.5831 4.9431
4.8380 0.7958 2.2928
7.2863 0.8195 6.1266
9.6305 0.8473 4.5887
3.7530 -0.7958 5.7328
11.9222 0.8269 3.0366
5.9651 -1.5831 1.5032
8.3712 -0.8195 2.6866
10.7154 -0.8473 1.1487
10.8373 -0.8269 6.4765
7.1705 0.8191 0.7681
9.5395 1.5554 1.9069
6.0855 -0.8191 4.2080
8.4545 -1.5554 5.3469

---

Zn2Pd7Pt2 (PBE, relaxed); total magnetization = 0.0 μB per formula unit; symmetry = No. 12; offset from the most stable computed form = 33 meV/atom
1.0
2.6857 -4.4846 0.0000
2.6857 4.4846 0.0000
-0.7739 0.0000 7.2279
Zn Pd Pt
2 7 2
Cartesian
0.7782 0.0000 1.1744
3.8194 0.0000 6.0534
-0.3869 0.0000 3.6139
1.5771 2.0141 2.4487
1.1376 0.0000 5.9314
3.0204 2.0141 4.7792
1.5771 -2.0141 2.4487
3.4600 0.0000 1.2965
3.0204 -2.0141 4.7792
2.6857 2.3267 0.0000
2.6857 -2.3267 0.0000

---

Zn2Pd7Pt2 (PBE, relaxed); total magnetization = 0.0 μB per formula unit; symmetry = No. 12; offset from the most stable computed form = 0 meV/atom
1.0
3.4922 -3.8437 0.0000
3.4922 3.8437 0.0000
-1.4596 0.0000 6.4148
Zn Pd Pt
2 7 2
Cartesian
3.4922 2.3508 0.0000
3.4922 -2.3508 0.0000
0.5308 1.5098 4.4780
2.2505 0.0000 0.4718
0.5308 -1.5098 4.4780
2.7624 0.0000 3.2074
4.9940 1.5098 1.9368
3.2743 0.0000 5.9430
4.9940 -1.5098 1.9368
0.1861 0.0000 2.2033
5.3386 0.0000 4.2116

---

Zn2Pd4Pt5 (PBE, relaxed); total magnetization = 0.0 μB per formula unit; symmetry = No. 2; offset from the most stable computed form = 0 meV/atom
1.0
2.7975 0.0000 0.0000
-1.3906 4.6214 0.0000
-0.0216 -0.2610 12.9232
Zn Pd Pt
2 4 5
Cartesian
-0.0041 0.3617 4.1457
1.3894 3.9986 8.7775
-0.0121 1.9788 7.6556
-0.0155 3.5135 11.0836
1.4009 0.8469 1.8395
1.3974 2.3815 5.2676
-0.0177 0.9961 12.3199
0.0020 2.9791 2.9852
1.3880 -0.1305 6.4616
1.3834 1.3813 9.9379
1.4031 3.3643 0.6033